1.
This record from the Alexandria database describes an optimized crystal structure of SrCaSe2. The functional is GGA-PBE.

Computed properties:
- Distance to the lowest polymorph of the same formula: 105 meV per atom
- Symmetry: R3m, No. 160

Cell lengths 4.255, 4.255, 7.867 Å; angles 74.31, 74.31, 60.00 degrees
Atoms (fractional coordinates):
1 Se 0.248 0.248 0.257
2 Se 0.086 0.086 0.743
3 Sr 0.668 0.668 0.996
4 Ca 0.499 0.499 0.504


2.
This record from the Alexandria database describes an optimized crystal structure of SrCa4Se. The functional is GGA-PBE.

Computed properties:
- VASP energy: -12.987 eV per cell
- Symmetry: F-43m, No. 216

Cell lengths 7.039, 7.039, 7.039 Å; angles 60.00, 60.00, 60.00 degrees
Atoms (fractional coordinates):
1 Ca 0.375 0.375 0.375
2 Ca 0.875 0.375 0.375
3 Ca 0.375 0.375 0.875
4 Ca 0.375 0.875 0.375
5 Sr 0.000 0.000 0.000
6 Se 0.750 0.750 0.750


| no. | magnetic moment (μB per formula unit) |
| --- | --- |
| 1 | 0.00 |
| 2 | 0.00 |